# GGA-PBE BaGeH2O4, optimized geometry
data_BaGeH2O4
_space_group_name_H-M_alt 'I 2 2 2'
_space_group_IT_number 23
_cell_length_a 4.363
_cell_length_b 6.403
_cell_length_c 7.109
_cell_angle_alpha 90.00
_cell_angle_beta 90.00
_cell_angle_gamma 90.00
loop_
_space_group_symop_operation_xyz
'x,y,z'
'-x,-y,z'
'x,-y,-z'
'-x,y,-z'
'x+1/2,y+1/2,z+1/2'
'-x+1/2,-y+1/2,z+1/2'
'x+1/2,-y+1/2,-z+1/2'
'-x+1/2,y+1/2,-z+1/2'
loop_
_atom_site_label
_atom_site_type_symbol
_atom_site_fract_x
_atom_site_fract_y
_atom_site_fract_z
_atom_site_occupancy
Ba1 Ba 0.000 0.000 0.000 1
Ge1 Ge 0.000 0.000 0.500 1
H1 H 0.000 0.500 0.151 1
O1 O 0.228 0.380 0.844 1
# Spin magnetization (μB per cell): 0.00
# D(E_F) (states/eV per cell): 0.00
# Uncorrected energy (eV/cell): -93.21